A plane-wave DFT calculation with PBE-GGA was carried out for a relaxed CsScAg2Cl6 crystal.

abc: 7.080 7.074 7.677
angles: 62.62 62.57 59.95
Sites, in units of the cell vectors:
Sc 0.331 0.331 0.007
Ag 0.994 0.996 0.016
Ag 0.526 0.525 0.424
Cs 0.790 0.790 0.629
Cl 0.555 0.277 0.218
Cl 0.300 0.726 0.762
Cl 0.950 0.554 0.219
Cl 0.725 0.213 0.760
Cl 0.212 0.301 0.762
Cl 0.279 0.949 0.218

## Properties
V: 282 Å³/cell
SG: P1, No. 1
total DFT energy (no corrections): -3.803 eV/atom